VASP calculation (PBE) on a geometry-optimized FePd14Au structure.

## Properties
D(E_F), states/eV/cell: 27.07
Space-group type: Amm2
Theoretical density, Mg/m³: 11.73
Spin magnetization, μB/f.u.: 6.47
DFT formation energy, eV per atom: -0.015

Cell: 5.576 5.576 9.156 Å, 90.00 90.00 119.95°
Site moments in Bohr magnetons follow the coordinates.
Atoms (fractional coordinates):
Fe (0.541, 0.459, 0.500)  3.36
Pd (0.208, 0.792, 0.000)  0.14
Pd (0.708, 0.292, 0.000)  0.21
Pd (0.041, 0.457, 0.500)  0.27
Pd (0.209, 0.292, 0.000)  0.23
Pd (0.543, 0.959, 0.500)  0.27
Pd (0.708, 0.791, 0.000)  0.23
Pd (0.378, 0.129, 0.747)  0.23
Pd (0.378, 0.129, 0.253)  0.23
Pd (0.871, 0.622, 0.747)  0.23
Pd (0.871, 0.622, 0.253)  0.23
Pd (0.377, 0.623, 0.745)  0.25
Pd (0.377, 0.623, 0.255)  0.25
Pd (0.874, 0.126, 0.753)  0.20
Pd (0.874, 0.126, 0.247)  0.20
Au (0.041, 0.959, 0.500)  0.06